Record 1
K2YHg PBE optimized geometry; E_tot = -2.0311 eV per atom; spin magnetization = 0.00 μB per cell; D(E_F) = 3.9 states/eV/cell; V = 39.52 A^3/atom; energy of formation = 0.21 eV/atom
1.0
2.077 -3.026 0.000
2.077 3.026 0.000
0.000 0.000 12.579
K Y Hg
2 1 1
direct
0.000 0.000 0.224
0.000 0.000 0.776
0.500 0.500 0.500
0.500 0.500 0.000

Record 2
As2RuPb PBE optimized geometry; E_tot = -5.5604 eV per atom; spin magnetization = 0.00 μB per cell; D(E_F) = 2.8 states/eV/cell; V = 20.71 A^3/atom; energy of formation = 0.01 eV/atom
1.0
1.620 0.935 9.113
-1.620 0.935 9.113
0.000 -1.871 9.113
As Ru Pb
2 1 1
direct
0.230 0.230 0.230
0.770 0.770 0.770
0.500 0.500 0.500
0.000 0.000 0.000